Entry 1:
Computed, not measured: an optimized crystal structure of Ba2TlSnPd6 at the PBE level of DFT.

The space group is P-1 (No. 2) and the conventional cell measures 5.766, 7.087 and 7.257 Å, with angles of 82.76, 66.65 and 66.00 degrees. Symmetry generates all atoms from Ba at (0.042, 0.210, 0.207), Tl at (0.500, 0.500, 0.000), Sn at (0.500, 0.000, 0.500), Pd at (0.004, 0.262, 0.722), Pd at (0.344, 0.404, 0.405) and Pd at (0.488, 0.737, 0.278).

The total energy comes out at -4.64 eV per atom. For the energy relative to the elements, the calculation gives -499 meV/atom. As for the density of states at the Fermi level: 0.32 states/eV per atom. The calculation puts the volume at 248.5 Å³/cell.


Entry 2:
Computed, not measured: an optimized crystal structure of SrLi2Pd3 at the PBE level of DFT.

The space group is P6/mmm (No. 191) and the conventional cell measures 5.5911, 5.5911 and 4.0078 Å, with angles of 90.00, 90.00 and 120.00 degrees. Symmetry generates all atoms from Sr at (0.0000, 0.0000, 0.0000), Li at (0.3333, 0.6667, 0.0000) and Pd at (0.0000, 0.5000, 0.5000).

The total energy comes out at -4.04 eV per atom. For the energy relative to the elements, the calculation gives -521 meV/atom. As for the density of states at the Fermi level: 0.53 states/eV per atom. The calculation puts the volume at 108.5 Å³/cell.


Entry 3:
Computed, not measured: an optimized crystal structure of Dy5Ho2Sc at the PBE level of DFT.

The space group is I4/mcm (No. 140) and the conventional cell measures 8.861, 8.861 and 12.417 Å, with angles of 90.00, 90.00 and 90.00 degrees. Symmetry generates all atoms from Dy at (0.000, 0.000, 0.000), Dy at (0.153, 0.347, 0.165), Ho at (0.142, 0.358, 0.500) and Sc at (0.000, 0.000, 0.250).

The total energy comes out at -4.71 eV per atom. The value obtained for the energy above the most stable polymorph in this dataset is 86 meV per atom. For the energy relative to the elements, the calculation gives 100 meV/atom. As for the density of states at the Fermi level: 1.19 states/eV per atom. The calculation puts the volume at 974.9 Å³/cell.


Entry 4:
Computed, not measured: an optimized crystal structure of Be2AlCl at the PBE level of DFT.

The space group is P4mm (No. 99) and the conventional cell measures 2.984, 2.984 and 7.097 Å, with angles of 90.00, 90.00 and 90.00 degrees. Symmetry generates all atoms from Be at (0.000, 0.000, 0.000), Be at (0.500, 0.500, 0.155), Al at (0.500, 0.500, 0.808) and Cl at (0.000, 0.000, 0.330).

The uncorrected formation energy comes out at 0.264 eV per atom. The total energy comes out at -3.00 eV per atom. The value obtained for the energy above the most stable polymorph in this dataset is 292 meV per atom. As for the density of states at the Fermi level: 0.25 states/eV per atom. The calculation puts the volume at 63.2 Å³/cell.


Entry 5:
Computed, not measured: an optimized crystal structure of NbCd3Cu at the PBE level of DFT.

The space group is Pm-3m (No. 221) and the conventional cell measures 5.526, 5.526 and 5.526 Å, with angles of 90.00, 90.00 and 90.00 degrees. Symmetry generates all atoms from Nb at (0.000, 0.000, 0.000), Cd at (0.000, 0.000, 0.500) and Cu at (0.500, 0.500, 0.500).

The total energy comes out at -2.05 eV per atom. The value obtained for the energy above the most stable polymorph in this dataset is 568 meV per atom. For the energy relative to the elements, the calculation gives 1334 meV/atom. As for the density of states at the Fermi level: 0.80 states/eV per atom. The calculation puts the volume at 168.7 Å³/cell.


Entry 6:
Computed, not measured: an optimized crystal structure of GeH2Se at the PBE level of DFT.

The space group is P1 (No. 1) and the conventional cell measures 2.833, 4.974 and 5.353 Å, with angles of 107.76, 90.04 and 106.43 degrees. Symmetry generates all atoms from Ge at (0.000, 0.000, 0.000), H at (0.037, 0.084, 0.744), H at (0.837, 0.681, 0.006) and Se at (0.185, 0.379, 0.404).

The total energy comes out at -3.48 eV per atom. The value obtained for the energy above the most stable polymorph in this dataset is 331 meV per atom. As for the density of states at the Fermi level: 0.39 states/eV per atom. The calculation puts the volume at 68.6 Å³/cell.


Entry 7:
Computed, not measured: an optimized crystal structure of CuTc2Mo at the PBE level of DFT.

The space group is P4mm (No. 99) and the conventional cell measures 2.746, 2.746 and 7.667 Å, with angles of 90.00, 90.00 and 90.00 degrees. Symmetry generates all atoms from Cu at (0.000, 0.000, 0.000), Tc at (0.000, 0.000, 0.517), Tc at (0.500, 0.500, 0.752) and Mo at (0.500, 0.500, 0.249).

The total energy comes out at -8.71 eV per atom. The value obtained for the energy above the most stable polymorph in this dataset is 62 meV per atom. For the energy relative to the elements, the calculation gives 210 meV/atom. As for the density of states at the Fermi level: 1.52 states/eV per atom. The calculation puts the volume at 57.8 Å³/cell.


Entry 8:
Computed, not measured: an optimized crystal structure of La8Tm4Mg at the PBE level of DFT.

The space group is R-3m (No. 166, hexagonal axes) and the conventional cell measures 7.1915, 7.1915 and 30.5421 Å, with angles of 90.00, 90.00 and 120.00 degrees. Symmetry generates all atoms from La at (0.0000, 0.0000, 0.2157), La at (0.0152, 0.5076, 0.7583), Tm at (0.0000, 0.0000, 0.0000), Tm at (0.0000, 0.5000, 0.0000) and Mg at (0.0000, 0.0000, 0.5000).

The total energy comes out at -4.38 eV per atom. For the energy relative to the elements, the calculation gives 148 meV/atom. As for the density of states at the Fermi level: 1.29 states/eV per atom. The calculation puts the volume at 1368.0 Å³/cell.


Entry 9:
Computed, not measured: an optimized crystal structure of LiCa2BiO4 at the PBE level of DFT.

The space group is Imma (No. 74) and the conventional cell measures 6.878, 6.938 and 9.431 Å, with angles of 90.00, 90.00 and 90.00 degrees. Symmetry generates all atoms from Li at (0.000, 0.000, 0.000), Ca at (0.000, 0.000, 0.500), Ca at (0.250, 0.250, 0.250), Bi at (0.250, 0.250, 0.750), O at (0.000, 0.003, 0.247) and O at (0.238, 0.250, 0.499).

The uncorrected formation energy comes out at -2.155 eV per atom. The total energy comes out at -5.86 eV per atom. As for the density of states at the Fermi level: 0.00 states/eV per atom. The calculation puts the volume at 450.1 Å³/cell.


Entry 10:
Computed, not measured: an optimized crystal structure of Na2SrCeTe4 at the PBE level of DFT.

The space group is P2/m (No. 10) and the conventional cell measures 7.915, 4.623 and 8.000 Å, with angles of 90.00, 109.35 and 90.00 degrees. Symmetry generates all atoms from Na at (0.000, 0.000, 0.000), Na at (0.000, 0.500, 0.500), Sr at (0.500, 0.000, 0.500), Ce at (0.500, 0.500, 0.000), Te at (0.258, 0.500, 0.233) and Te at (0.264, 0.000, 0.771).

The uncorrected formation energy comes out at -1.248 eV per atom. The total energy comes out at -4.10 eV per atom. The calculation puts the volume at 276.2 Å³/cell.